a | DFT (GGA-PBE) results for crystalline LuCuHgGe at its relaxed geometry.

Unit cell a=6.8090 b=6.8090 c=6.8090 alpha=90.00 beta=90.00 gamma=90.00
With the nearest neighbours (Å) after each atom.
Sites, in units of the cell vectors:
1 Lu 0.0000 0.0000 0.0000  4 Cu 2.95, 4 Hg 2.95
2 Lu 0.0000 0.5000 0.5000  4 Cu 2.95, 4 Hg 2.95
3 Lu 0.5000 0.0000 0.5000  4 Cu 2.95, 4 Hg 2.95
4 Lu 0.5000 0.5000 0.0000  4 Cu 2.95, 4 Hg 2.95
5 Cu 0.2500 0.2500 0.7500  4 Ge 2.95, 4 Lu 2.95
6 Cu 0.2500 0.7500 0.2500  4 Ge 2.95, 4 Lu 2.95
7 Cu 0.7500 0.2500 0.2500  4 Ge 2.95, 4 Lu 2.95
8 Cu 0.7500 0.7500 0.7500  4 Ge 2.95, 4 Lu 2.95
9 Hg 0.2500 0.2500 0.2500  4 Ge 2.95, 4 Lu 2.95
10 Hg 0.2500 0.7500 0.7500  4 Lu 2.95, 4 Ge 2.95
11 Hg 0.7500 0.2500 0.7500  4 Lu 2.95, 4 Ge 2.95
12 Hg 0.7500 0.7500 0.2500  4 Lu 2.95, 4 Ge 2.95
13 Ge 0.0000 0.0000 0.5000  4 Hg 2.95, 4 Cu 2.95
14 Ge 0.0000 0.5000 0.0000  4 Hg 2.95, 4 Cu 2.95
15 Ge 0.5000 0.0000 0.0000  4 Hg 2.95, 4 Cu 2.95
16 Ge 0.5000 0.5000 0.5000  4 Hg 2.95, 4 Cu 2.95

Summary:
* size of the total moment: 0.0 μB/f.u.

b | DFT (GGA-PBE) results for crystalline LuCuHgGe at its relaxed geometry.

Unit cell a=6.7693 b=6.7693 c=6.7693 alpha=90.00 beta=90.00 gamma=90.00
With the nearest neighbours (Å) after each atom.
Sites, in units of the cell vectors:
1 Lu 0.0000 0.0000 0.0000  4 Ge 2.93, 4 Hg 2.93
2 Lu 0.0000 0.5000 0.5000  4 Ge 2.93, 4 Hg 2.93
3 Lu 0.5000 0.0000 0.5000  4 Ge 2.93, 4 Hg 2.93
4 Lu 0.5000 0.5000 0.0000  4 Ge 2.93, 4 Hg 2.93
5 Cu 0.0000 0.0000 0.5000  4 Hg 2.93, 4 Ge 2.93
6 Cu 0.0000 0.5000 0.0000  4 Hg 2.93, 4 Ge 2.93
7 Cu 0.5000 0.0000 0.0000  4 Hg 2.93, 4 Ge 2.93
8 Cu 0.5000 0.5000 0.5000  4 Hg 2.93, 4 Ge 2.93
9 Hg 0.2500 0.2500 0.7500  4 Cu 2.93, 4 Lu 2.93
10 Hg 0.2500 0.7500 0.2500  4 Cu 2.93, 4 Lu 2.93
11 Hg 0.7500 0.2500 0.2500  4 Cu 2.93, 4 Lu 2.93
12 Hg 0.7500 0.7500 0.7500  4 Cu 2.93, 4 Lu 2.93
13 Ge 0.2500 0.2500 0.2500  4 Cu 2.93, 4 Lu 2.93
14 Ge 0.2500 0.7500 0.7500  4 Cu 2.93, 4 Lu 2.93
15 Ge 0.7500 0.2500 0.7500  4 Cu 2.93, 4 Lu 2.93
16 Ge 0.7500 0.7500 0.2500  4 Cu 2.93, 4 Lu 2.93

Summary:
* size of the total moment: 0.0 μB/f.u.

It is b that is the most stable of them.

a | DFT (GGA-PBE) results for crystalline CuHgGeMo at its relaxed geometry.

Unit cell a=6.4132 b=6.4132 c=6.4132 alpha=90.00 beta=90.00 gamma=90.00
With the nearest neighbours (Å) after each atom.
Sites, in units of the cell vectors:
1 Cu 0.0000 0.0000 0.0000  4 Ge 2.78, 4 Hg 2.78
2 Cu 0.0000 0.5000 0.5000  4 Ge 2.78, 4 Hg 2.78
3 Cu 0.5000 0.0000 0.5000  4 Ge 2.78, 4 Hg 2.78
4 Cu 0.5000 0.5000 0.0000  4 Ge 2.78, 4 Hg 2.78
5 Hg 0.2500 0.2500 0.2500  4 Mo 2.78, 4 Cu 2.78
6 Hg 0.2500 0.7500 0.7500  4 Mo 2.78, 4 Cu 2.78
7 Hg 0.7500 0.2500 0.7500  4 Mo 2.78, 4 Cu 2.78
8 Hg 0.7500 0.7500 0.2500  4 Mo 2.78, 4 Cu 2.78
9 Ge 0.2500 0.2500 0.7500  4 Mo 2.78, 4 Cu 2.78
10 Ge 0.2500 0.7500 0.2500  4 Mo 2.78, 4 Cu 2.78
11 Ge 0.7500 0.2500 0.2500  4 Mo 2.78, 4 Cu 2.78
12 Ge 0.7500 0.7500 0.7500  4 Mo 2.78, 4 Cu 2.78
13 Mo 0.0000 0.0000 0.5000  4 Ge 2.78, 4 Hg 2.78
14 Mo 0.0000 0.5000 0.0000  4 Ge 2.78, 4 Hg 2.78
15 Mo 0.5000 0.0000 0.0000  4 Ge 2.78, 4 Hg 2.78
16 Mo 0.5000 0.5000 0.5000  4 Ge 2.78, 4 Hg 2.78

Summary:
* size of the total moment: 0.5 μB/f.u.

b | DFT (GGA-PBE) results for crystalline CuHgGeMo at its relaxed geometry.

Unit cell a=6.5880 b=6.5880 c=6.5880 alpha=90.00 beta=90.00 gamma=90.00
With the nearest neighbours (Å) after each atom.
Sites, in units of the cell vectors:
1 Cu 0.0000 0.0000 0.0000  4 Ge 2.85, 4 Mo 2.85
2 Cu 0.0000 0.5000 0.5000  4 Ge 2.85, 4 Mo 2.85
3 Cu 0.5000 0.0000 0.5000  4 Ge 2.85, 4 Mo 2.85
4 Cu 0.5000 0.5000 0.0000  4 Ge 2.85, 4 Mo 2.85
5 Hg 0.0000 0.0000 0.5000  4 Mo 2.85, 4 Ge 2.85
6 Hg 0.0000 0.5000 0.0000  4 Ge 2.85, 4 Mo 2.85
7 Hg 0.5000 0.0000 0.0000  4 Ge 2.85, 4 Mo 2.85
8 Hg 0.5000 0.5000 0.5000  4 Mo 2.85, 4 Ge 2.85
9 Ge 0.2500 0.2500 0.7500  4 Hg 2.85, 4 Cu 2.85
10 Ge 0.2500 0.7500 0.2500  4 Hg 2.85, 4 Cu 2.85
11 Ge 0.7500 0.2500 0.2500  4 Hg 2.85, 4 Cu 2.85
12 Ge 0.7500 0.7500 0.7500  4 Hg 2.85, 4 Cu 2.85
13 Mo 0.2500 0.2500 0.2500  4 Hg 2.85, 4 Cu 2.85
14 Mo 0.2500 0.7500 0.7500  4 Hg 2.85, 4 Cu 2.85
15 Mo 0.7500 0.2500 0.7500  4 Hg 2.85, 4 Cu 2.85
16 Mo 0.7500 0.7500 0.2500  4 Hg 2.85, 4 Cu 2.85

Summary:
* size of the total moment: 3.0 μB/f.u.

It is a that is the most stable of them.

a | DFT (GGA-PBE) results for crystalline ScCuHgGe at its relaxed geometry.

Unit cell a=6.6280 b=6.6280 c=6.6280 alpha=90.00 beta=90.00 gamma=90.00
With the nearest neighbours (Å) after each atom.
Sites, in units of the cell vectors:
1 Sc 0.0000 0.0000 0.0000  4 Ge 2.87, 4 Hg 2.87
2 Sc 0.0000 0.5000 0.5000  4 Ge 2.87, 4 Hg 2.87
3 Sc 0.5000 0.0000 0.5000  4 Ge 2.87, 4 Hg 2.87
4 Sc 0.5000 0.5000 0.0000  4 Ge 2.87, 4 Hg 2.87
5 Cu 0.0000 0.0000 0.5000  4 Hg 2.87, 4 Ge 2.87
6 Cu 0.0000 0.5000 0.0000  4 Hg 2.87, 4 Ge 2.87
7 Cu 0.5000 0.0000 0.0000  4 Hg 2.87, 4 Ge 2.87
8 Cu 0.5000 0.5000 0.5000  4 Hg 2.87, 4 Ge 2.87
9 Hg 0.2500 0.2500 0.7500  4 Sc 2.87, 4 Cu 2.87
10 Hg 0.2500 0.7500 0.2500  4 Sc 2.87, 4 Cu 2.87
11 Hg 0.7500 0.2500 0.2500  4 Sc 2.87, 4 Cu 2.87
12 Hg 0.7500 0.7500 0.7500  4 Sc 2.87, 4 Cu 2.87
13 Ge 0.2500 0.2500 0.2500  4 Cu 2.87, 4 Sc 2.87
14 Ge 0.2500 0.7500 0.7500  4 Sc 2.87, 4 Cu 2.87
15 Ge 0.7500 0.2500 0.7500  4 Sc 2.87, 4 Cu 2.87
16 Ge 0.7500 0.7500 0.2500  4 Cu 2.87, 4 Sc 2.87

Summary:
* size of the total moment: 0.0 μB/f.u.

b | DFT (GGA-PBE) results for crystalline ScCuHgGe at its relaxed geometry.

Unit cell a=6.6588 b=6.6588 c=6.6588 alpha=90.00 beta=90.00 gamma=90.00
With the nearest neighbours (Å) after each atom.
Sites, in units of the cell vectors:
1 Sc 0.0000 0.0000 0.0000  4 Hg 2.88, 4 Cu 2.88
2 Sc 0.0000 0.5000 0.5000  4 Hg 2.88, 4 Cu 2.88
3 Sc 0.5000 0.0000 0.5000  4 Hg 2.88, 4 Cu 2.88
4 Sc 0.5000 0.5000 0.0000  4 Hg 2.88, 4 Cu 2.88
5 Cu 0.2500 0.2500 0.7500  4 Ge 2.88, 4 Sc 2.88
6 Cu 0.2500 0.7500 0.2500  4 Ge 2.88, 4 Sc 2.88
7 Cu 0.7500 0.2500 0.2500  4 Ge 2.88, 4 Sc 2.88
8 Cu 0.7500 0.7500 0.7500  4 Ge 2.88, 4 Sc 2.88
9 Hg 0.2500 0.2500 0.2500  4 Ge 2.88, 4 Sc 2.88
10 Hg 0.2500 0.7500 0.7500  4 Ge 2.88, 4 Sc 2.88
11 Hg 0.7500 0.2500 0.7500  4 Ge 2.88, 4 Sc 2.88
12 Hg 0.7500 0.7500 0.2500  4 Ge 2.88, 4 Sc 2.88
13 Ge 0.0000 0.0000 0.5000  4 Hg 2.88, 4 Cu 2.88
14 Ge 0.0000 0.5000 0.0000  4 Hg 2.88, 4 Cu 2.88
15 Ge 0.5000 0.0000 0.0000  4 Hg 2.88, 4 Cu 2.88
16 Ge 0.5000 0.5000 0.5000  4 Hg 2.88, 4 Cu 2.88

Summary:
* size of the total moment: 0.0 μB/f.u.

It is a that is the most stable of them.

a | DFT (GGA-PBE) results for crystalline Cu2HgGeTe2Se2 at its relaxed geometry.

Unit cell a=13.0476 b=6.0628 c=6.0585 alpha=90.00 beta=116.81 gamma=90.00
With the nearest neighbours (Å) after each atom.
Sites, in units of the cell vectors:
1 Cu 0.2503 0.0000 0.2273  2 Se 2.44, 2 Te 2.58-2.59
2 Cu 0.2497 0.5000 0.7727  2 Se 2.44, 2 Te 2.58-2.59
3 Cu 0.7497 0.0000 0.7727  2 Se 2.44, 2 Te 2.58-2.59
4 Cu 0.7503 0.5000 0.2273  2 Se 2.44, 2 Te 2.58-2.59
5 Hg 0.0000 0.9897 0.5000  2 Se 2.75, 2 Te 2.86
6 Hg 0.5000 0.4897 0.5000  2 Se 2.75, 2 Te 2.86
7 Ge 0.0000 0.5246 0.0000  2 Se 2.47, 2 Te 2.66
8 Ge 0.5000 0.0246 0.0000  2 Se 2.47, 2 Te 2.66
9 Te 0.1405 0.2716 0.3725  2 Cu 2.58-2.59, 1 Ge 2.66, 1 Hg 2.86
10 Te 0.3595 0.7716 0.6275  2 Cu 2.58-2.59, 1 Ge 2.66, 1 Hg 2.86
11 Te 0.6405 0.7716 0.3725  2 Cu 2.58-2.59, 1 Ge 2.66, 1 Hg 2.86
12 Te 0.8595 0.2716 0.6275  2 Cu 2.58-2.59, 1 Ge 2.66, 1 Hg 2.86
13 Se 0.1363 0.7378 0.9031  2 Cu 2.44, 1 Ge 2.47
14 Se 0.3637 0.2378 0.0969  2 Cu 2.44, 1 Ge 2.47
15 Se 0.6363 0.2378 0.9031  2 Cu 2.44, 1 Ge 2.47
16 Se 0.8637 0.7378 0.0969  2 Cu 2.44, 1 Ge 2.47

b | DFT (GGA-PBE) results for crystalline Cu2HgGeTe2Se2 at its relaxed geometry.

Unit cell a=7.2332 b=7.2256 c=6.0813 alpha=65.19 beta=65.06 gamma=49.74
With the nearest neighbours (Å) after each atom.
Sites, in units of the cell vectors:
1 Cu 0.0000 0.0000 0.5000  2 Se 2.46, 2 Te 2.57
2 Cu 0.5000 0.5000 0.0000  2 Se 2.46, 2 Te 2.57
3 Hg 0.2633 0.2633 0.7367  2 Se 2.79, 2 Te 2.83
4 Ge 0.7692 0.7692 0.2308  2 Se 2.48, 2 Te 2.65
5 Te 0.3869 0.8535 0.6131  2 Cu 2.57, 1 Ge 2.65, 1 Hg 2.83
6 Te 0.8535 0.3869 0.1465  2 Cu 2.57, 1 Ge 2.65, 1 Hg 2.83
7 Se 0.1273 0.6664 0.3336  2 Cu 2.46, 1 Ge 2.48
8 Se 0.6664 0.1273 0.8727  2 Cu 2.46, 1 Ge 2.48

It is a that is the most stable of them.

a | DFT (GGA-PBE) results for crystalline CuHgGeW at its relaxed geometry.

Unit cell a=6.3995 b=6.3995 c=6.3995 alpha=90.00 beta=90.00 gamma=90.00
With the nearest neighbours (Å) after each atom.
Sites, in units of the cell vectors:
1 Cu 0.0000 0.0000 0.0000  4 Ge 2.77, 4 Hg 2.77
2 Cu 0.0000 0.5000 0.5000  4 Ge 2.77, 4 Hg 2.77
3 Cu 0.5000 0.0000 0.5000  4 Ge 2.77, 4 Hg 2.77
4 Cu 0.5000 0.5000 0.0000  4 Ge 2.77, 4 Hg 2.77
5 Hg 0.2500 0.2500 0.2500  4 Cu 2.77, 4 W 2.77
6 Hg 0.2500 0.7500 0.7500  4 Cu 2.77, 4 W 2.77
7 Hg 0.7500 0.2500 0.7500  4 Cu 2.77, 4 W 2.77
8 Hg 0.7500 0.7500 0.2500  4 Cu 2.77, 4 W 2.77
9 Ge 0.2500 0.2500 0.7500  4 W 2.77, 4 Cu 2.77
10 Ge 0.2500 0.7500 0.2500  4 W 2.77, 4 Cu 2.77
11 Ge 0.7500 0.2500 0.2500  4 W 2.77, 4 Cu 2.77
12 Ge 0.7500 0.7500 0.7500  4 W 2.77, 4 Cu 2.77
13 W 0.0000 0.0000 0.5000  4 Hg 2.77, 4 Ge 2.77
14 W 0.0000 0.5000 0.0000  4 Hg 2.77, 4 Ge 2.77
15 W 0.5000 0.0000 0.0000  4 Hg 2.77, 4 Ge 2.77
16 W 0.5000 0.5000 0.5000  4 Hg 2.77, 4 Ge 2.77

Summary:
* size of the total moment: 0.4 μB/f.u.

b | DFT (GGA-PBE) results for crystalline CuHgGeW at its relaxed geometry.

Unit cell a=6.5739 b=6.5739 c=6.5739 alpha=90.00 beta=90.00 gamma=90.00
With the nearest neighbours (Å) after each atom.
Sites, in units of the cell vectors:
1 Cu 0.0000 0.0000 0.0000  4 Ge 2.85, 4 W 2.85
2 Cu 0.0000 0.5000 0.5000  4 Ge 2.85, 4 W 2.85
3 Cu 0.5000 0.0000 0.5000  4 Ge 2.85, 4 W 2.85
4 Cu 0.5000 0.5000 0.0000  4 Ge 2.85, 4 W 2.85
5 Hg 0.0000 0.0000 0.5000  4 Ge 2.85, 4 W 2.85
6 Hg 0.0000 0.5000 0.0000  4 Ge 2.85, 4 W 2.85
7 Hg 0.5000 0.0000 0.0000  4 Ge 2.85, 4 W 2.85
8 Hg 0.5000 0.5000 0.5000  4 Ge 2.85, 4 W 2.85
9 Ge 0.2500 0.2500 0.7500  4 Hg 2.85, 4 Cu 2.85
10 Ge 0.2500 0.7500 0.2500  4 Hg 2.85, 4 Cu 2.85
11 Ge 0.7500 0.2500 0.2500  4 Hg 2.85, 4 Cu 2.85
12 Ge 0.7500 0.7500 0.7500  4 Cu 2.85, 4 Hg 2.85
13 W 0.2500 0.2500 0.2500  4 Hg 2.85, 4 Cu 2.85
14 W 0.2500 0.7500 0.7500  4 Hg 2.85, 4 Cu 2.85
15 W 0.7500 0.2500 0.7500  4 Hg 2.85, 4 Cu 2.85
16 W 0.7500 0.7500 0.2500  4 Hg 2.85, 4 Cu 2.85

Summary:
* size of the total moment: 2.6 μB/f.u.

It is a that is the most stable of them.

a | DFT (GGA-PBE) results for crystalline ZnCuHgGe at its relaxed geometry.

Unit cell a=6.5862 b=6.5862 c=6.5862 alpha=90.00 beta=90.00 gamma=90.00
With the nearest neighbours (Å) after each atom.
Sites, in units of the cell vectors:
1 Zn 0.0000 0.0000 0.0000  4 Hg 2.85, 4 Cu 2.85
2 Zn 0.0000 0.5000 0.5000  4 Hg 2.85, 4 Cu 2.85
3 Zn 0.5000 0.0000 0.5000  4 Hg 2.85, 4 Cu 2.85
4 Zn 0.5000 0.5000 0.0000  4 Hg 2.85, 4 Cu 2.85
5 Cu 0.2500 0.2500 0.7500  4 Ge 2.85, 4 Zn 2.85
6 Cu 0.2500 0.7500 0.2500  4 Ge 2.85, 4 Zn 2.85
7 Cu 0.7500 0.2500 0.2500  4 Ge 2.85, 4 Zn 2.85
8 Cu 0.7500 0.7500 0.7500  4 Ge 2.85, 4 Zn 2.85
9 Hg 0.2500 0.2500 0.2500  4 Ge 2.85, 4 Zn 2.85
10 Hg 0.2500 0.7500 0.7500  4 Ge 2.85, 4 Zn 2.85
11 Hg 0.7500 0.2500 0.7500  4 Ge 2.85, 4 Zn 2.85
12 Hg 0.7500 0.7500 0.2500  4 Ge 2.85, 4 Zn 2.85
13 Ge 0.0000 0.0000 0.5000  4 Hg 2.85, 4 Cu 2.85
14 Ge 0.0000 0.5000 0.0000  4 Hg 2.85, 4 Cu 2.85
15 Ge 0.5000 0.0000 0.0000  4 Hg 2.85, 4 Cu 2.85
16 Ge 0.5000 0.5000 0.5000  4 Hg 2.85, 4 Cu 2.85

b | DFT (GGA-PBE) results for crystalline ZnCuHgGe at its relaxed geometry.

Unit cell a=6.5493 b=6.5493 c=6.5493 alpha=90.00 beta=90.00 gamma=90.00
With the nearest neighbours (Å) after each atom.
Sites, in units of the cell vectors:
1 Zn 0.0000 0.0000 0.0000  4 Hg 2.84, 4 Ge 2.84
2 Zn 0.0000 0.5000 0.5000  4 Ge 2.84, 4 Hg 2.84
3 Zn 0.5000 0.0000 0.5000  4 Ge 2.84, 4 Hg 2.84
4 Zn 0.5000 0.5000 0.0000  4 Ge 2.84, 4 Hg 2.84
5 Cu 0.0000 0.0000 0.5000  4 Ge 2.84, 4 Hg 2.84
6 Cu 0.0000 0.5000 0.0000  4 Ge 2.84, 4 Hg 2.84
7 Cu 0.5000 0.0000 0.0000  4 Ge 2.84, 4 Hg 2.84
8 Cu 0.5000 0.5000 0.5000  4 Ge 2.84, 4 Hg 2.84
9 Hg 0.2500 0.2500 0.7500  4 Cu 2.84, 4 Zn 2.84
10 Hg 0.2500 0.7500 0.2500  4 Cu 2.84, 4 Zn 2.84
11 Hg 0.7500 0.2500 0.2500  4 Cu 2.84, 4 Zn 2.84
12 Hg 0.7500 0.7500 0.7500  4 Cu 2.84, 4 Zn 2.84
13 Ge 0.2500 0.2500 0.2500  4 Cu 2.84, 4 Zn 2.84
14 Ge 0.2500 0.7500 0.7500  4 Cu 2.84, 4 Zn 2.84
15 Ge 0.7500 0.2500 0.7500  4 Cu 2.84, 4 Zn 2.84
16 Ge 0.7500 0.7500 0.2500  4 Cu 2.84, 4 Zn 2.84

It is b that is the most stable of them.